[1]
Computed, not measured: Ba2In4AgSn3 after structural relaxation at the PBE-GGA level of DFT.

The structure in POSCAR format:
```
Ba2In4AgSn3
1.0
5.145 0.000 0.000
0.000 5.145 0.000
0.000 0.000 11.767
Ba In Ag Sn
2 4 1 3
direct
0.000 0.500 0.238 Ba
0.500 0.000 0.762 Ba
0.000 0.000 0.500 In
0.000 0.500 0.880 In
0.500 0.000 0.120 In
0.500 0.500 0.500 In
0.500 0.500 0.000 Ag
0.000 0.000 0.000 Sn
0.000 0.500 0.635 Sn
0.500 0.000 0.365 Sn
```

Energy relative to the elements = -0.328 eV/atom
Total magnetization = 0.00 Bohr magnetons per cell
Space group = P-4m2 (115)

---

[2]
Computed, not measured: Ba2InAg6Sn after structural relaxation at the PBE-GGA level of DFT.

The structure in POSCAR format:
```
Ba2InAg6Sn
1.0
7.012 0.000 0.000
3.499 6.681 0.000
3.500 1.804 6.433
Ba In Ag Sn
2 1 6 1
direct
0.250 0.250 0.250 Ba
0.750 0.750 0.750 Ba
0.000 0.000 0.000 In
0.248 0.250 0.750 Ag
0.249 0.751 0.751 Ag
0.250 0.751 0.249 Ag
0.750 0.249 0.751 Ag
0.751 0.249 0.249 Ag
0.752 0.750 0.250 Ag
0.500 0.500 0.500 Sn
```

Energy relative to the elements = -0.068 eV/atom
Total magnetization = 0.00 Bohr magnetons per cell
Space group = P-1 (2)

---

[3]
Computed, not measured: Ba2InAg4Sn3 after structural relaxation at the PBE-GGA level of DFT.

The structure in POSCAR format:
```
Ba2InAg4Sn3
1.0
4.886 0.000 0.000
0.000 4.886 0.000
0.000 0.000 11.513
Ba In Ag Sn
2 1 4 3
direct
0.000 0.500 0.242 Ba
0.500 0.000 0.758 Ba
0.000 0.000 0.500 In
0.000 0.000 0.000 Ag
0.000 0.500 0.633 Ag
0.500 0.000 0.367 Ag
0.500 0.500 0.000 Ag
0.000 0.500 0.875 Sn
0.500 0.000 0.125 Sn
0.500 0.500 0.500 Sn
```

Energy relative to the elements = -0.366 eV/atom
Total magnetization = 0.00 Bohr magnetons per cell
Space group = P-4m2 (115)

---

[4]
Computed, not measured: Ba2In3AgSn4 after structural relaxation at the PBE-GGA level of DFT.

The structure in POSCAR format:
```
Ba2In3AgSn4
1.0
5.169 0.000 0.000
0.000 5.169 0.000
0.000 0.000 11.612
Ba In Ag Sn
2 3 1 4
direct
0.000 0.500 0.240 Ba
0.500 0.000 0.760 Ba
0.000 0.000 0.000 In
0.000 0.500 0.632 In
0.500 0.000 0.368 In
0.500 0.500 0.000 Ag
0.000 0.000 0.500 Sn
0.000 0.500 0.877 Sn
0.500 0.000 0.123 Sn
0.500 0.500 0.500 Sn
```

Energy relative to the elements = -0.349 eV/atom
Total magnetization = 0.00 Bohr magnetons per cell
Space group = P-4m2 (115)

---

[5]
Computed, not measured: Ba2In6AgSn after structural relaxation at the PBE-GGA level of DFT.

The structure in POSCAR format:
```
Ba2In6AgSn
1.0
3.671 2.120 13.766
-3.671 2.120 13.766
0.000 -4.239 13.766
Ba In Ag Sn
4 12 2 2
direct
0.106 0.106 0.106 Ba
0.278 0.278 0.278 Ba
0.722 0.722 0.722 Ba
0.894 0.894 0.894 Ba
0.077 0.667 0.667 In
0.223 0.223 0.639 In
0.223 0.639 0.223 In
0.333 0.333 0.923 In
0.333 0.923 0.333 In
0.361 0.777 0.777 In
0.639 0.223 0.223 In
0.667 0.077 0.667 In
0.667 0.667 0.077 In
0.777 0.361 0.777 In
0.777 0.777 0.361 In
0.923 0.333 0.333 In
0.000 0.000 0.000 Ag
0.500 0.500 0.500 Ag
0.425 0.425 0.425 Sn
0.575 0.575 0.575 Sn
```

Energy relative to the elements = -0.206 eV/atom
Total magnetization = 0.00 Bohr magnetons per cell
Space group = R-3m (166)

---

[6]
Computed, not measured: BaSrIn2Ag2 after structural relaxation at the PBE-GGA level of DFT.

The structure in POSCAR format:
```
BaSrIn2Ag2
1.0
5.011 0.000 0.000
-2.505 4.340 0.000
0.000 0.000 8.491
Ba Sr In Ag
1 1 2 2
direct
0.000 0.000 0.000 Ba
0.000 0.000 0.500 Sr
0.333 0.667 0.276 In
0.667 0.333 0.724 In
0.333 0.667 0.720 Ag
0.667 0.333 0.280 Ag
```

Energy relative to the elements = -0.332 eV/atom
Total magnetization = 0.00 Bohr magnetons per cell
Space group = P-3m1 (164)

---

[7]
Computed, not measured: Ba3Sr3In2Ag after structural relaxation at the PBE-GGA level of DFT.

The structure in POSCAR format:
```
Ba3Sr3In2Ag
1.0
9.806 0.000 0.000
-4.903 8.492 0.000
0.000 0.000 4.571
Ba Sr In Ag
3 3 2 1
direct
0.000 0.743 0.000 Ba
0.257 0.257 0.000 Ba
0.743 0.000 0.000 Ba
0.000 0.410 0.500 Sr
0.410 0.000 0.500 Sr
0.590 0.590 0.500 Sr
0.333 0.667 0.000 In
0.667 0.333 0.000 In
0.000 0.000 0.500 Ag
```

Energy relative to the elements = -0.218 eV/atom
Total magnetization = 0.00 Bohr magnetons per cell
Space group = P-62m (189)

---

[8]
Computed, not measured: BaTbInAg after structural relaxation at the PBE-GGA level of DFT.

The structure in POSCAR format:
```
BaTbInAg
1.0
0.000 3.954 3.954
3.954 0.000 3.954
3.954 3.954 0.000
Ba Tb In Ag
1 1 1 1
direct
0.000 0.000 0.000 Ba
0.500 0.500 0.500 Tb
0.750 0.750 0.750 In
0.250 0.250 0.250 Ag
```

Energy relative to the elements = -0.209 eV/atom
Total magnetization = 0.00 Bohr magnetons per cell
Space group = F-43m (216)

---

[9]
Computed, not measured: BaInAgTe3 after structural relaxation at the PBE-GGA level of DFT.

The structure in POSCAR format:
```
BaInAgTe3
1.0
8.982 0.000 0.000
0.000 4.701 0.000
-1.565 0.000 10.460
Ba In Ag Te
2 2 2 6
direct
0.134 0.250 0.267 Ba
0.866 0.750 0.733 Ba
0.280 0.250 0.694 In
0.720 0.750 0.306 In
0.410 0.250 0.030 Ag
0.590 0.750 0.970 Ag
0.105 0.250 0.892 Te
0.183 0.750 0.541 Te
0.416 0.750 0.188 Te
0.584 0.250 0.812 Te
0.817 0.250 0.459 Te
0.895 0.750 0.108 Te
```

Formation energy from raw total energies = -4.42 eV per formula unit
Total magnetization = 0.00 Bohr magnetons per cell
Space group = P2_1/m (11)

---

[10]
Computed, not measured: Ba2Tl6InAg after structural relaxation at the PBE-GGA level of DFT.

The structure in POSCAR format:
```
Ba2Tl6InAg
1.0
3.863 2.230 13.196
-3.863 2.230 13.196
0.000 -4.461 13.196
Ba Tl In Ag
4 12 2 2
direct
0.108 0.108 0.108 Ba
0.281 0.281 0.281 Ba
0.719 0.719 0.719 Ba
0.892 0.892 0.892 Ba
0.078 0.663 0.663 Tl
0.222 0.222 0.652 Tl
0.222 0.652 0.222 Tl
0.337 0.337 0.922 Tl
0.337 0.922 0.337 Tl
0.348 0.778 0.778 Tl
0.652 0.222 0.222 Tl
0.663 0.078 0.663 Tl
0.663 0.663 0.078 Tl
0.778 0.348 0.778 Tl
0.778 0.778 0.348 Tl
0.922 0.337 0.337 Tl
0.427 0.427 0.427 In
0.573 0.573 0.573 In
0.000 0.000 0.000 Ag
0.500 0.500 0.500 Ag
```

Energy relative to the elements = -0.138 eV/atom
Total magnetization = 0.00 Bohr magnetons per cell
Space group = R-3m (166)

---

[11]
Computed, not measured: Ba2Tl3InAg4 after structural relaxation at the PBE-GGA level of DFT.

The structure in POSCAR format:
```
Ba2Tl3InAg4
1.0
4.895 0.000 0.000
0.000 4.895 0.000
0.000 0.000 11.985
Ba Tl In Ag
2 3 1 4
direct
0.000 0.500 0.247 Ba
0.500 0.000 0.753 Ba
0.000 0.500 0.872 Tl
0.500 0.000 0.128 Tl
0.500 0.500 0.500 Tl
0.000 0.000 0.500 In
0.000 0.000 0.000 Ag
0.000 0.500 0.633 Ag
0.500 0.000 0.367 Ag
0.500 0.500 0.000 Ag
```

Energy relative to the elements = -0.199 eV/atom
Total magnetization = 0.00 Bohr magnetons per cell
Space group = P-4m2 (115)

---

[12]
Computed, not measured: Ba2TlIn4Ag3 after structural relaxation at the PBE-GGA level of DFT.

The structure in POSCAR format:
```
Ba2TlIn4Ag3
1.0
4.864 0.000 0.000
0.000 4.864 0.000
0.000 0.000 12.090
Ba Tl In Ag
2 1 4 3
direct
0.000 0.500 0.247 Ba
0.500 0.000 0.753 Ba
0.000 0.000 0.500 Tl
0.000 0.000 0.000 In
0.000 0.500 0.641 In
0.500 0.000 0.359 In
0.500 0.500 0.000 In
0.000 0.500 0.872 Ag
0.500 0.000 0.128 Ag
0.500 0.500 0.500 Ag
```

Energy relative to the elements = -0.282 eV/atom
Total magnetization = 0.00 Bohr magnetons per cell
Space group = P-4m2 (115)

---

[13]
Computed, not measured: BaTl2InAg after structural relaxation at the PBE-GGA level of DFT.

The structure in POSCAR format:
```
BaTl2InAg
1.0
-2.493 2.512 6.123
2.493 -2.512 6.123
2.493 2.512 -6.123
Ba Tl In Ag
1 2 1 1
direct
0.000 0.000 0.000 Ba
0.605 0.605 0.000 Tl
0.759 0.259 0.500 Tl
0.256 0.756 0.500 In
0.375 0.375 0.000 Ag
```

Energy relative to the elements = -0.258 eV/atom
Total magnetization = 0.00 Bohr magnetons per cell
Space group = Imm2 (44)

---

[14]
Computed, not measured: Ba2Tl3In4Ag after structural relaxation at the PBE-GGA level of DFT.

The structure in POSCAR format:
```
Ba2Tl3In4Ag
1.0
5.035 0.000 0.000
0.000 5.035 0.000
0.000 0.000 12.403
Ba Tl In Ag
2 3 4 1
direct
0.000 0.500 0.244 Ba
0.500 0.000 0.756 Ba
0.000 0.000 0.000 Tl
0.000 0.500 0.642 Tl
0.500 0.000 0.358 Tl
0.000 0.000 0.500 In
0.000 0.500 0.878 In
0.500 0.000 0.122 In
0.500 0.500 0.500 In
0.500 0.500 0.000 Ag
```

Energy relative to the elements = -0.264 eV/atom
Total magnetization = 0.00 Bohr magnetons per cell
Space group = P-4m2 (115)

---

[15]
Computed, not measured: Ba2TlIn3Ag4 after structural relaxation at the PBE-GGA level of DFT.

The structure in POSCAR format:
```
Ba2TlIn3Ag4
1.0
4.894 0.000 0.000
0.000 4.894 0.000
0.000 0.000 11.745
Ba Tl In Ag
2 1 3 4
direct
0.000 0.500 0.244 Ba
0.500 0.000 0.756 Ba
0.000 0.000 0.500 Tl
0.000 0.500 0.880 In
0.500 0.000 0.120 In
0.500 0.500 0.500 In
0.000 0.000 0.000 Ag
0.000 0.500 0.640 Ag
0.500 0.000 0.360 Ag
0.500 0.500 0.000 Ag
```

Energy relative to the elements = -0.259 eV/atom
Total magnetization = 0.00 Bohr magnetons per cell
Space group = P-4m2 (115)

---

[16]
Computed, not measured: BaTlInAg after structural relaxation at the PBE-GGA level of DFT.

The structure in POSCAR format:
```
BaTlInAg
1.0
0.000 3.893 3.893
3.893 0.000 3.893
3.893 3.893 0.000
Ba Tl In Ag
1 1 1 1
direct
0.000 0.000 0.000 Ba
0.250 0.250 0.250 Tl
0.500 0.500 0.500 In
0.750 0.750 0.750 Ag
```

Energy relative to the elements = -0.223 eV/atom
Total magnetization = 0.00 Bohr magnetons per cell
Space group = F-43m (216)

---

[17]
Computed, not measured: BaTmInAg after structural relaxation at the PBE-GGA level of DFT.

The structure in POSCAR format:
```
BaTmInAg
1.0
0.000 3.928 3.928
3.928 0.000 3.928
3.928 3.928 0.000
Ba Tm In Ag
1 1 1 1
direct
0.000 0.000 0.000 Ba
0.500 0.500 0.500 Tm
0.250 0.250 0.250 In
0.750 0.750 0.750 Ag
```

Energy relative to the elements = -0.183 eV/atom
Total magnetization = 0.00 Bohr magnetons per cell
Space group = F-43m (216)

---

[18]
Computed, not measured: BaZnInAg2 after structural relaxation at the PBE-GGA level of DFT.

The structure in POSCAR format:
```
BaZnInAg2
1.0
-2.302 2.309 6.037
2.302 -2.309 6.037
2.302 2.309 -6.037
Ba Zn In Ag
1 1 1 2
direct
0.000 0.000 0.000 Ba
0.615 0.615 0.000 Zn
0.249 0.749 0.500 In
0.392 0.392 0.000 Ag
0.741 0.241 0.500 Ag
```

Energy relative to the elements = -0.235 eV/atom
Total magnetization = 0.00 Bohr magnetons per cell
Space group = Imm2 (44)
Energy above the most stable polymorph in this dataset = 0 meV/atom

---

[19]
Computed, not measured: BaZnInAg2 after structural relaxation at the PBE-GGA level of DFT.

The structure in POSCAR format:
```
BaZnInAg2
1.0
5.157 0.000 0.000
0.000 5.157 0.000
0.000 0.000 5.222
Ba Zn In Ag
1 1 1 2
direct
0.000 0.000 0.000 Ba
0.500 0.500 0.500 Zn
0.500 0.500 0.000 In
0.000 0.500 0.500 Ag
0.500 0.000 0.500 Ag
```

Energy relative to the elements = -0.068 eV/atom
Total magnetization = 0.00 Bohr magnetons per cell
Space group = P4/mmm (123)
Energy above the most stable polymorph in this dataset = 168 meV/atom

---

[20]
Computed, not measured: Ba2Zn4InAg3 after structural relaxation at the PBE-GGA level of DFT.

The structure in POSCAR format:
```
Ba2Zn4InAg3
1.0
4.659 0.000 0.000
0.000 4.659 0.000
0.000 0.000 11.324
Ba Zn In Ag
2 4 1 3
direct
0.000 0.500 0.245 Ba
0.500 0.000 0.755 Ba
0.000 0.000 0.000 Zn
0.000 0.500 0.635 Zn
0.500 0.000 0.365 Zn
0.500 0.500 0.000 Zn
0.000 0.000 0.500 In
0.000 0.500 0.877 Ag
0.500 0.000 0.123 Ag
0.500 0.500 0.500 Ag
```

Energy relative to the elements = -0.215 eV/atom
Total magnetization = 0.00 Bohr magnetons per cell
Space group = P-4m2 (115)

---

[21]
Computed, not measured: BaZnIn2Ag after structural relaxation at the PBE-GGA level of DFT.

The structure in POSCAR format:
```
BaZnIn2Ag
1.0
-2.403 2.422 5.801
2.403 -2.422 5.801
2.403 2.422 -5.801
Ba Zn In Ag
1 1 2 1
direct
0.000 0.000 0.000 Ba
0.622 0.622 0.000 Zn
0.384 0.384 0.000 In
0.740 0.240 0.500 In
0.243 0.743 0.500 Ag
```

Energy relative to the elements = -0.279 eV/atom
Total magnetization = 0.00 Bohr magnetons per cell
Space group = Imm2 (44)

---

[22]
Computed, not measured: Ba2ZnIn3Ag4 after structural relaxation at the PBE-GGA level of DFT.

The structure in POSCAR format:
```
Ba2ZnIn3Ag4
1.0
4.794 0.000 0.000
0.000 4.794 0.000
0.000 0.000 11.741
Ba Zn In Ag
2 1 3 4
direct
0.000 0.500 0.246 Ba
0.500 0.000 0.754 Ba
0.500 0.500 0.000 Zn
0.000 0.000 0.000 In
0.000 0.500 0.630 In
0.500 0.000 0.370 In
0.000 0.000 0.500 Ag
0.000 0.500 0.873 Ag
0.500 0.000 0.127 Ag
0.500 0.500 0.500 Ag
```

Energy relative to the elements = -0.245 eV/atom
Total magnetization = 0.00 Bohr magnetons per cell
Space group = P-4m2 (115)

---

[23]
Computed, not measured: Ba2ZnIn4Ag3 after structural relaxation at the PBE-GGA level of DFT.

The structure in POSCAR format:
```
Ba2ZnIn4Ag3
1.0
4.838 0.000 0.000
0.000 4.838 0.000
0.000 0.000 11.702
Ba Zn In Ag
2 1 4 3
direct
0.000 0.500 0.243 Ba
0.500 0.000 0.757 Ba
0.500 0.500 0.000 Zn
0.000 0.000 0.500 In
0.000 0.500 0.877 In
0.500 0.000 0.123 In
0.500 0.500 0.500 In
0.000 0.000 0.000 Ag
0.000 0.500 0.636 Ag
0.500 0.000 0.364 Ag
```

Energy relative to the elements = -0.288 eV/atom
Total magnetization = 0.00 Bohr magnetons per cell
Space group = P-4m2 (115)